1.
# TbZr3Sc3 PBE optimized geometry
# D(E_F): 1.39 states/eV/atom
# Energy of formation: 0.0979 eV per atom
data_TbZr3Sc3
_symmetry_space_group_name_H-M 'C 1 2/m 1'
_symmetry_Int_Tables_number 12
_symmetry_space_group_name_Hall '-C 2y'
_cell_length_a 10.871
_cell_length_b 5.019
_cell_length_c 12.890
_cell_angle_alpha 90.00
_cell_angle_beta 97.31
_cell_angle_gamma 90.00
loop_
_atom_site_label
_atom_site_fract_x
_atom_site_fract_y
_atom_site_fract_z
Tb1 0.146 0.000 0.014
Zr1 0.014 0.000 0.233
Zr2 0.092 0.500 0.841
Zr3 0.212 0.500 0.197
Sc1 0.074 0.500 0.393
Sc2 0.124 0.000 0.566
Sc3 0.242 0.500 0.641


2.
# Dy5GaAg4 PBE optimized geometry
# D(E_F): 0.64 states/eV/atom
# Energy of formation: -0.3748 eV per atom
data_Dy5GaAg4
_symmetry_space_group_name_H-M 'P 4/m m m'
_symmetry_Int_Tables_number 123
_symmetry_space_group_name_Hall '-P 4 2'
_cell_length_a 3.605
_cell_length_b 3.605
_cell_length_c 18.266
_cell_angle_alpha 90.00
_cell_angle_beta 90.00
_cell_angle_gamma 90.00
loop_
_atom_site_label
_atom_site_fract_x
_atom_site_fract_y
_atom_site_fract_z
Dy1 0.000 0.000 0.000
Dy2 0.000 0.000 0.202
Dy3 0.000 0.000 0.404
Ga1 0.500 0.500 0.500
Ag1 0.500 0.500 0.100
Ag2 0.500 0.500 0.303


3.
# LiHfBi3 PBE optimized geometry
# D(E_F): 1.04 states/eV/atom
# Energy above the most stable polymorph in this dataset: 1.51 eV/f.u.
# Energy of formation: 0.4769 eV per atom
data_LiHfBi3
_symmetry_space_group_name_H-M 'P m -3 m'
_symmetry_Int_Tables_number 221
_symmetry_space_group_name_Hall '-P 4 2 3'
_cell_length_a 5.122
_cell_length_b 5.122
_cell_length_c 5.122
_cell_angle_alpha 90.00
_cell_angle_beta 90.00
_cell_angle_gamma 90.00
loop_
_atom_site_label
_atom_site_fract_x
_atom_site_fract_y
_atom_site_fract_z
Li1 0.000 0.000 0.000
Hf1 0.500 0.500 0.500
Bi1 0.000 0.000 0.500


4.
# CaAg2PO PBE optimized geometry
# E_form (uncorrected): 9.57 kcal/mol of atoms
# D(E_F): 0.74 states/eV/atom
data_CaAg2PO
_symmetry_space_group_name_H-M 'P 4/m m m'
_symmetry_Int_Tables_number 123
_symmetry_space_group_name_Hall '-P 4 2'
_cell_length_a 5.532
_cell_length_b 5.532
_cell_length_c 3.941
_cell_angle_alpha 90.00
_cell_angle_beta 90.00
_cell_angle_gamma 90.00
loop_
_atom_site_label
_atom_site_fract_x
_atom_site_fract_y
_atom_site_fract_z
Ca1 0.000 0.000 0.000
Ag1 0.000 0.500 0.000
P1 0.500 0.500 0.500
O1 0.000 0.000 0.500


5.
# Tb4TlZn2 PBE optimized geometry
# D(E_F): 1.19 states/eV/atom
# Energy above the most stable polymorph in this dataset: 0.00 eV/f.u.
# Energy of formation: -0.1837 eV per atom
data_Tb4TlZn2
_symmetry_space_group_name_H-M 'R -3 m'
_symmetry_Int_Tables_number 166
_symmetry_space_group_name_Hall '-R 3 2"'
_cell_length_a 5.1062
_cell_length_b 5.1062
_cell_length_c 24.6284
_cell_angle_alpha 90.00
_cell_angle_beta 90.00
_cell_angle_gamma 120.00
loop_
_atom_site_label
_atom_site_fract_x
_atom_site_fract_y
_atom_site_fract_z
Tb1 0.0000 0.0000 0.1140
Tb2 0.0000 0.0000 0.3675
Tl1 0.0000 0.0000 0.5000
Zn1 0.0000 0.0000 0.2470


6.
# NaPuGa4 PBE optimized geometry
# D(E_F): 2.23 states/eV/atom
# Energy of formation: -0.1948 eV per atom
data_NaPuGa4
_symmetry_space_group_name_H-M 'F -4 3 m'
_symmetry_Int_Tables_number 216
_symmetry_space_group_name_Hall 'F -4 2 3'
_cell_length_a 7.866
_cell_length_b 7.866
_cell_length_c 7.866
_cell_angle_alpha 90.00
_cell_angle_beta 90.00
_cell_angle_gamma 90.00
loop_
_atom_site_label
_atom_site_fract_x
_atom_site_fract_y
_atom_site_fract_z
Na1 0.000 0.000 0.000
Pu1 0.250 0.250 0.250
Ga1 0.125 0.125 0.625


Total magnetization for the records above, in order: 0.0, 0.0, 0.0, 0.0, 0.0, 6.0 μB per formula unit